Record 1
First-principles (PBE) data for a relaxed structure of BeSeBr2, as listed in the Alexandria database.

Calculated values
**Calculated volume**: 112.2 Å³ per cell
**Formation energy from raw total energies**: -0.44 eV per atom
**Offset from the most stable computed form**: 0 meV per atom

Lattice parameters (Å, degrees): 3.7857 7.9220 8.9013 24.85 90.00 90.00
Fractional positions:
Br1 0.0000 0.0284 0.9099
Br2 0.5000 0.2855 0.2254
Be1 0.5000 0.5944 0.7501
Se1 0.0000 0.5917 0.6147

=====

Record 2
First-principles (PBE) data for a relaxed structure of BaTc2Os, as listed in the Alexandria database.

Calculated values
**Calculated volume**: 74.4 Å³ per cell
**DFT formation energy**: 1.349 eV/atom
**Offset from the most stable computed form**: 641 meV per atom

Lattice parameters (Å, degrees): 4.7218 4.7218 4.7218 60.00 60.00 60.00
Fractional positions:
Tc1 0.0000 0.0000 0.0000
Tc2 0.2500 0.2500 0.2500
Ba1 0.5000 0.5000 0.5000
Os1 0.7500 0.7500 0.7500

=====

Record 3
First-principles (PBE) data for a relaxed structure of YGa3, as listed in the Alexandria database.

Calculated values
**Calculated volume**: 156.7 Å³ per cell
**DFT formation energy**: -0.539 eV/atom

Lattice parameters (Å, degrees): 6.2749 6.2749 4.5954 90.00 90.00 120.00
Fractional positions:
Ga1 0.8534 0.1466 0.7500
Ga2 0.1466 0.8534 0.2500
Ga3 0.7069 0.8534 0.2500
Ga4 0.1466 0.2931 0.2500
Ga5 0.8534 0.7069 0.7500
Ga6 0.2931 0.1466 0.7500
Y1 0.3333 0.6667 0.7500
Y2 0.6667 0.3333 0.2500

=====

Record 4
First-principles (PBE) data for a relaxed structure of TaFe8Re3, as listed in the Alexandria database.

Calculated values
**Calculated volume**: 145.4 Å³ per cell
**DFT formation energy**: -0.071 eV/atom

Lattice parameters (Å, degrees): 4.6553 4.6553 7.7455 90.00 90.00 120.00
Site moments in Bohr magnetons follow the coordinates.
Fractional positions:
Fe1 0.6737 0.8369 0.2495  1.16
Fe2 0.3333 0.6667 0.0004  -1.12
Fe3 0.5035 0.4965 0.7524  1.32
Fe4 0.9931 0.4965 0.7524  1.32
Fe5 0.5035 0.0069 0.7524  1.32
Fe6 0.1631 0.8369 0.2495  1.16
Fe7 0.1631 0.3263 0.2495  1.16
Fe8 0.3333 0.6667 0.4996  0.31
Re1 0.6667 0.3333 0.4225  -0.17
Re2 0.6667 0.3333 0.0646  -0.05
Re3 0.0000 0.0000 0.9400  0.02
Ta1 0.0000 0.0000 0.5673  -0.15

=====

Record 5
First-principles (PBE) data for a relaxed structure of Cr2OsPb, as listed in the Alexandria database.

Calculated values
**Calculated volume**: 68.4 Å³ per cell
**DFT formation energy**: 0.557 eV/atom

Lattice parameters (Å, degrees): 2.9920 2.9920 7.6365 90.00 90.00 90.00
Site moments in Bohr magnetons follow the coordinates.
Fractional positions:
Cr1 0.5000 0.5000 0.2594  -1.52
Cr2 0.0000 0.0000 0.0596  3.11
Os1 0.0000 0.0000 0.4445  0.37
Pb1 0.5000 0.5000 0.7365  0.00

=====

Record 6
First-principles (PBE) data for a relaxed structure of Ti3Nb3Re2, as listed in the Alexandria database.

Calculated values
**Calculated volume**: 131.3 Å³ per cell
**DFT formation energy**: -0.164 eV/atom

Lattice parameters (Å, degrees): 4.5325 4.5325 7.8309 73.18 73.18 60.00
Fractional positions:
Nb1 0.2497 0.2497 0.2509
Nb2 0.7503 0.7503 0.7490
Nb3 0.6250 0.6250 0.1249
Ti1 0.3772 0.3772 0.8683
Ti2 0.1247 0.1247 0.6258
Ti3 0.8730 0.8730 0.3810
Re1 0.4998 0.4998 0.5007
Re2 0.0002 0.0002 0.9994

=====

Record 7
First-principles (PBE) data for a relaxed structure of Ce4MgPt2, as listed in the Alexandria database.

Calculated values
**Calculated volume**: 187.3 Å³ per cell
**DFT formation energy**: -0.459 eV/atom

Lattice parameters (Å, degrees): 5.0915 5.0915 8.8473 73.28 73.28 60.00
Site moments in Bohr magnetons follow the coordinates.
Fractional positions:
Ce1 0.2182 0.2182 0.3454  0.48
Ce2 0.6001 0.6001 0.1998  0.76
Ce3 0.3999 0.3999 0.8002  0.76
Ce4 0.7818 0.7818 0.6546  0.48
Pt1 0.8962 0.8962 0.3114  -0.02
Pt2 0.1038 0.1038 0.6886  -0.02
Mg1 0.0000 0.0000 0.0000  0.00

=====

Record 8
First-principles (PBE) data for a relaxed structure of ThScCuNi, as listed in the Alexandria database.

Calculated values
**Calculated volume**: 79.0 Å³ per cell
**DFT formation energy**: -0.233 eV/atom
**Offset from the most stable computed form**: 88 meV per atom

Lattice parameters (Å, degrees): 4.8161 4.8161 4.8161 60.00 60.00 60.00
Fractional positions:
Ni1 0.7500 0.7500 0.7500
Th1 0.5000 0.5000 0.5000
Cu1 0.2500 0.2500 0.2500
Sc1 0.0000 0.0000 0.0000

=====

Record 9
First-principles (PBE) data for a relaxed structure of Rb2BSb2, as listed in the Alexandria database.

Calculated values
**Calculated volume**: 191.3 Å³ per cell
**Formation energy from raw total energies**: 0.71 eV per atom
**Offset from the most stable computed form**: 0 meV per atom

Lattice parameters (Å, degrees): 4.2528 4.2528 10.9948 78.85 78.85 90.00
Site moments in Bohr magnetons follow the coordinates.
Fractional positions:
Sb1 0.2500 0.7500 0.5000  0.00
Sb2 0.7500 0.2500 0.5000  0.00
Rb1 0.4054 0.4054 0.1892  0.04
Rb2 0.5946 0.5946 0.8108  0.04
B1 0.0000 0.0000 0.0000  0.62

=====

Record 10
First-principles (PBE) data for a relaxed structure of La3Tb2Sb3, as listed in the Alexandria database.

Calculated values
**Calculated volume**: 494.7 Å³ per cell
**Formation energy from raw total energies**: -0.97 eV per atom

Lattice parameters (Å, degrees): 6.5545 9.3352 9.3352 120.00 90.00 90.00
Fractional positions:
La1 0.2500 0.7494 0.0000
La2 0.2500 0.2506 0.2506
La3 0.7500 0.7494 0.7494
La4 0.7500 0.0000 0.2506
La5 0.2500 0.0000 0.7494
La6 0.7500 0.2506 0.0000
Tb1 0.0000 0.3333 0.6667
Tb2 0.5000 0.6667 0.3333
Tb3 0.0000 0.6667 0.3333
Tb4 0.5000 0.3333 0.6667
Sb1 0.7500 0.6071 0.0000
Sb2 0.2500 0.0000 0.3929
Sb3 0.7500 0.3929 0.3929
Sb4 0.2500 0.3929 0.0000
Sb5 0.2500 0.6071 0.6071
Sb6 0.7500 0.0000 0.6071

=====

Record 11
First-principles (PBE) data for a relaxed structure of Li3Cd2PtO6, as listed in the Alexandria database.

Calculated values
**Calculated volume**: 137.9 Å³ per cell
**Formation energy from raw total energies**: -1.22 eV per atom

Lattice parameters (Å, degrees): 5.7500 5.7500 5.2014 99.03 99.03 122.07
Site moments in Bohr magnetons follow the coordinates.
Fractional positions:
Cd1 0.6716 0.3284 0.0000  0.00
Cd2 0.3284 0.6716 0.0000  0.00
O1 0.6407 0.9250 0.7568  0.04
O2 0.3593 0.0750 0.2432  0.04
O3 0.7720 0.7720 0.2338  0.03
O4 0.9250 0.6407 0.7568  0.04
O5 0.2280 0.2280 0.7662  0.03
O6 0.0750 0.3593 0.2432  0.04
Pt1 0.0000 0.0000 0.0000  0.17
Li1 0.5000 0.5000 0.5000  0.00
Li2 0.8676 0.1324 0.5000  0.00
Li3 0.1324 0.8676 0.5000  0.00

=====

Record 12
First-principles (PBE) data for a relaxed structure of BaCl8, as listed in the Alexandria database.

Calculated values
**Calculated volume**: 373.1 Å³ per cell
**Formation energy from raw total energies**: -0.49 eV per atom

Lattice parameters (Å, degrees): 7.9179 7.9179 7.9179 104.68 104.68 119.55
Fractional positions:
Cl1 0.7490 0.7490 0.4980
Cl2 0.7490 0.2510 0.0000
Cl3 0.3131 0.0000 0.3131
Cl4 0.6869 0.0000 0.6869
Cl5 0.2510 0.2510 0.5020
Cl6 0.2510 0.7490 0.0000
Cl7 0.0000 0.6869 0.6869
Cl8 0.0000 0.3131 0.3131
Ba1 0.0000 0.0000 0.0000

=====

Looking at electronic total energy for the records above, in order, we have -3.081 -7.122 -4.425 -9.813 -7.989 -10.013 -5.804 -6.140 -2.662 -5.521 -4.829 -2.343 eV/atom.